*P*
NbVH2 | GGA-PBE | relaxed

Geometry as POSCAR:
```
NbVH2
1.0
2.8542 0.2859 0.4403
1.6766 2.9009 -0.0110
2.1090 0.7136 5.0427
H V Nb
2 1 1
Cartesian
1.9385 0.4040 0.7081 H
2.4674 2.0289 2.7189 H
2.2061 2.1869 0.9768 V
3.8601 1.2291 3.7859 Nb
```

DOS(E_F) = 1.08 states/eV per cell
Magnetization = 0.00 μB per atom


*Q*
NbVH2 | GGA-PBE | relaxed

Geometry as POSCAR:
```
NbVH2
1.0
2.6703 0.0000 0.0000
0.0000 2.6703 0.0000
0.0000 0.0000 5.3044
V H Nb
1 2 1
Cartesian
1.3352 1.3352 2.6522 V
0.0000 0.0000 3.7913 H
0.0000 0.0000 1.5131 H
1.3352 1.3352 0.0000 Nb
```

DOS(E_F) = 2.38 states/eV per cell
Magnetization = 0.00 μB per atom


*R*
NbVH2 | GGA-PBE | relaxed

Geometry as POSCAR:
```
NbVH2
1.0
-0.0599 -1.1553 3.5671
-3.2393 -1.0325 1.5823
-0.6334 -3.6105 0.7911
Nb V H
1 1 2
Cartesian
-1.9663 -2.8992 2.9703 Nb
0.0000 0.0000 0.0000 V
-2.9494 -4.3487 4.4554 H
-0.9831 -1.4496 1.4851 H
```

DOS(E_F) = 2.46 states/eV per cell
Magnetization = 0.00 μB per atom


Q: Which of them is the most stable? A: *P*.


*P*
NbVH | GGA-PBE | relaxed

Geometry as POSCAR:
```
NbVH
1.0
-1.5327 2.8104 -1.8669
-1.9710 -0.6685 -3.0661
-3.6777 0.4545 0.0256
H Nb V
1 1 1
Cartesian
-1.7953 0.6491 -1.2269 H
-3.5907 1.2982 -2.4537 Nb
0.0000 0.0000 0.0000 V
```

DOS(E_F) = 1.16 states/eV per cell
Magnetization = 0.00 μB per atom


*Q*
NbVH | GGA-PBE | relaxed

Geometry as POSCAR:
```
NbVH
1.0
-0.7576 -0.9104 3.3944
-0.1696 -3.4588 -0.9655
3.5153 1.8685 -0.6180
V Nb H
1 1 1
Cartesian
2.0646 -0.2138 0.4035 V
1.9998 -2.4398 1.6958 Nb
0.1963 -2.2529 1.3434 H
```

DOS(E_F) = 2.71 states/eV per cell
Magnetization = 0.00 μB per atom


*R*
NbVH | GGA-PBE | relaxed

Geometry as POSCAR:
```
NbVH
1.0
-3.4780 -2.8377 -2.2310
0.6988 -2.1688 1.6692
-2.0037 1.8180 0.8112
Nb H V
1 1 1
Cartesian
-3.2226 -1.2404 -0.2625 Nb
-1.2269 -1.6760 0.7258 H
-0.3335 -0.2721 -0.2139 V
```

DOS(E_F) = 2.52 states/eV per cell
Magnetization = 0.00 μB per atom


*S*
NbVH | GGA-PBE | relaxed

Geometry as POSCAR:
```
NbVH
1.0
-1.9949 -1.8758 0.5980
1.0964 -3.9359 3.3327
-0.0660 -0.2573 7.0843
Nb V H
2 2 2
Cartesian
0.2205 -2.6037 3.2139 Nb
0.0816 -4.1481 6.0037 Nb
-1.4453 -3.2618 8.1755 V
-1.4098 -1.6872 5.3916 V
-1.2017 -1.6144 7.2885 H
-1.6533 -3.3343 6.2785 H
```

DOS(E_F) = 3.85 states/eV per cell
Magnetization = 0.00 μB per atom


Q: Which of them is the most stable? A: *S*.


*P*
NbVH | GGA-PBE | relaxed

Geometry as POSCAR:
```
NbVH
1.0
5.6156 -0.5272 0.0000
-1.4206 5.4716 0.0000
0.0000 0.0000 9.2295
H Nb V
8 8 8
Cartesian
0.9042 1.0766 8.0854 H
0.1710 2.9243 2.9529 H
0.8813 0.1885 1.6619 H
4.0240 2.0201 6.2767 H
3.3137 4.7559 7.5676 H
0.1939 3.8124 5.7589 H
4.0011 1.1320 3.4706 H
3.2908 3.8678 1.1441 H
2.4674 1.1084 2.2907 Nb
1.7276 3.8360 6.9388 Nb
1.7571 3.8442 2.3241 Nb
1.3714 -0.1071 4.6058 Nb
3.5339 2.3158 9.2205 Nb
2.4379 1.1002 6.9054 Nb
0.6611 2.6287 0.0090 Nb
2.8236 5.0516 4.6238 Nb
5.2632 0.8293 2.2523 V
4.1646 -0.3393 0.0127 V
-1.0682 4.1152 6.9772 V
0.7407 2.5479 4.6274 V
0.0303 5.2837 9.2168 V
3.4543 2.3965 4.6021 V
4.5529 3.5651 2.3625 V
-0.3579 1.3794 6.8670 V
```

DOS(E_F) = 18.97 states/eV per cell
Magnetization = 0.00 μB per atom


*Q*
NbVH | GGA-PBE | relaxed

Geometry as POSCAR:
```
NbVH
1.0
-2.9643 0.8381 1.2623
-0.2031 -4.0953 2.2419
1.9906 1.8044 3.4765
V H Nb
2 2 2
Cartesian
0.1550 -0.7774 3.0750 V
-1.4171 -2.3955 4.8474 V
-1.2317 -0.7448 4.1869 H
0.1235 0.6766 2.0357 H
-0.3270 0.5446 5.4554 Nb
-0.9356 -3.7251 2.4712 Nb
```

DOS(E_F) = 3.96 states/eV per cell
Magnetization = 0.00 μB per atom


Q: Which of them is the most stable? A: *Q*.


*P*
Nb3VH | GGA-PBE | relaxed

Geometry as POSCAR:
```
Nb3VH
1.0
4.6444 0.0000 0.0000
0.0000 4.6444 0.0000
0.0000 0.0000 4.6444
V H Nb
1 1 3
Cartesian
0.0000 0.0000 0.0000 V
2.3222 2.3222 2.3222 H
0.0000 0.0000 2.3222 Nb
2.3222 0.0000 0.0000 Nb
0.0000 2.3222 0.0000 Nb
```

DOS(E_F) = 7.64 states/eV per cell
Magnetization = 0.00 μB per atom


*Q*
Nb3VH | GGA-PBE | relaxed

Geometry as POSCAR:
```
Nb3VH
1.0
-1.4567 -3.9236 0.1327
1.4370 -0.4012 3.9126
-3.6534 1.4066 1.4860
V Nb H
1 3 1
Cartesian
-1.8366 -1.4591 2.7656 V
-1.8267 0.7033 0.7430 Nb
0.7185 -0.2006 1.9563 Nb
-0.7284 -1.9618 0.0663 Nb
0.0000 0.0000 0.0000 H
```

DOS(E_F) = 6.47 states/eV per cell
Magnetization = 0.22 μB per atom


Q: Which of them is the most stable? A: *Q*.


*P*
NbVH4 | GGA-PBE | relaxed

Geometry as POSCAR:
```
NbVH4
1.0
-2.7521 1.3596 -0.3505
-1.3390 -2.7736 -0.2452
-0.6063 -0.0954 4.3909
H Nb V
4 1 1
Cartesian
-1.8167 0.6105 3.0155 H
-1.5418 0.6537 1.0249 H
-1.1101 -1.4561 3.0682 H
-0.8352 -1.4129 1.0775 H
0.0000 0.0000 0.0000 Nb
-2.3487 -0.7547 1.8976 V
```

DOS(E_F) = 2.43 states/eV per cell
Magnetization = 0.05 μB per atom


*Q*
NbVH4 | GGA-PBE | relaxed

Geometry as POSCAR:
```
NbVH4
1.0
5.1941 -0.5613 0.0000
-1.9335 4.9356 0.0000
-1.6303 -2.1872 3.9378
H V Nb
8 2 2
Cartesian
-1.0469 2.8302 2.6814 H
-0.4291 0.7930 3.2740 H
-0.0802 0.3624 1.2564 H
2.6772 -0.6430 1.2564 H
3.0262 -1.0736 3.2740 H
2.0594 1.3942 0.6638 H
-1.3959 3.2608 0.6638 H
1.7105 1.8248 2.6814 H
1.2985 -0.1403 0.1796 V
0.3318 2.3275 3.7582 V
1.2985 -0.1403 2.9823 Nb
0.3318 2.3275 0.9555 Nb
```

DOS(E_F) = 2.39 states/eV per cell
Magnetization = 0.00 μB per atom


Q: Which of them is the most stable? A: *P*.


*P*
NbH3W | GGA-PBE | relaxed

Geometry as POSCAR:
```
NbH3W
1.0
-2.8296 -1.9312 0.8333
-0.5046 -0.7327 -3.4116
2.0419 -2.8573 0.3116
H W Nb
3 1 1
Cartesian
-0.2523 -0.3663 -1.7058 H
1.0209 -1.4286 0.1558 H
-1.4148 -0.9656 0.4166 H
0.0000 0.0000 0.0000 W
-0.6462 -2.7606 -1.1334 Nb
```

DOS(E_F) = 2.36 states/eV per cell
Magnetization = 0.00 μB per atom


*Q*
NbH3W | GGA-PBE | relaxed

Geometry as POSCAR:
```
NbH3W
1.0
-0.3133 3.4926 0.4088
-1.9014 0.1770 -2.9693
-2.9580 -0.4836 1.8654
W H Nb
1 3 1
Cartesian
-2.5864 1.5930 -0.3476 W
-1.4790 -0.2418 0.9327 H
-0.9507 0.0885 -1.4846 H
-0.1566 1.7463 0.2044 H
0.0000 0.0000 0.0000 Nb
```

DOS(E_F) = 3.12 states/eV per cell
Magnetization = 0.00 μB per atom


Q: Which of them is the most stable? A: *P*.


*P*
NbHW3 | GGA-PBE | relaxed

Geometry as POSCAR:
```
NbHW3
1.0
-3.5591 -3.0188 -1.0840
1.4309 -0.0451 -4.5723
2.8706 -3.7203 0.9350
Nb H W
1 1 3
Cartesian
0.0000 0.0000 0.0000 Nb
0.3712 -3.3921 -2.3607 H
0.7154 -0.0225 -2.2862 W
1.4353 -1.8601 0.4675 W
-1.7796 -1.5094 -0.5420 W
```

DOS(E_F) = 4.64 states/eV per cell
Magnetization = 0.06 μB per atom


*Q*
NbHW3 | GGA-PBE | relaxed

Geometry as POSCAR:
```
NbHW3
1.0
-0.5616 -3.0095 -2.7529
3.5243 -1.7569 1.2016
-2.0530 -2.1926 2.8158
Nb W H
1 3 1
Cartesian
0.4548 -3.4795 0.6322 Nb
1.7621 -0.8784 0.6008 W
-1.0265 -1.0963 1.4079 W
-0.2808 -1.5047 -1.3765 W
0.0000 0.0000 0.0000 H
```

DOS(E_F) = 3.54 states/eV per cell
Magnetization = 0.00 μB per atom


Q: Which of them is the most stable? A: *Q*.


*P*
YNb3H | GGA-PBE | relaxed

Geometry as POSCAR:
```
YNb3H
1.0
-3.1718 2.1551 2.1857
1.2261 -1.9918 3.7432
2.8140 3.2970 0.8327
Nb H Y
3 1 1
Cartesian
0.6130 -0.9959 1.8716 Nb
1.4070 1.6485 0.4164 Nb
-1.5859 1.0775 1.0928 Nb
0.0000 0.0000 0.0000 H
0.4341 1.7301 3.3808 Y
```

DOS(E_F) = 6.06 states/eV per cell
Magnetization = 0.00 μB per atom


*Q*
YNb3H | GGA-PBE | relaxed

Geometry as POSCAR:
```
YNb3H
1.0
-1.0078 -0.5061 -4.8681
4.8723 0.3672 -1.0468
0.4638 -4.9577 0.4195
H Nb Y
1 3 1
Cartesian
2.1642 -2.5483 -2.7477 H
0.2319 -2.4789 0.2097 Nb
2.4362 0.1836 -0.5234 Nb
-0.5039 -0.2531 -2.4341 Nb
0.0000 0.0000 0.0000 Y
```

DOS(E_F) = 8.45 states/eV per cell
Magnetization = 0.00 μB per atom


Q: Which of them is the most stable? A: *P*.


*P*
Nb2ZnH | GGA-PBE | relaxed

Geometry as POSCAR:
```
Nb2ZnH
1.0
-3.9693 -0.5933 3.2872
-1.7225 -4.0106 -2.8037
-0.1688 -5.3295 2.9279
Zn Nb H
2 4 2
Cartesian
-3.4920 -4.1124 3.2284 Zn
0.0000 0.0000 0.0000 Zn
-2.0219 -2.0975 1.8427 Nb
-4.7960 -7.3018 3.1250 Nb
-2.3313 -4.0203 -0.0162 Nb
-2.5719 -6.4475 1.8712 Nb
-2.8459 -2.3020 0.2417 H
-2.3686 -5.8211 0.1829 H
```

DOS(E_F) = 6.92 states/eV per cell
Magnetization = 0.00 μB per atom


*Q*
Nb2ZnH | GGA-PBE | relaxed

Geometry as POSCAR:
```
Nb2ZnH
1.0
2.9305 0.0000 0.0000
1.4652 2.5379 0.0000
1.4652 0.8460 7.3787
Nb Zn H
2 1 1
Cartesian
1.4652 0.8460 6.0366 Nb
1.4652 0.8460 1.3554 Nb
2.9305 1.6919 3.7009 Zn
4.3957 2.5379 7.3539 H
```

DOS(E_F) = 2.88 states/eV per cell
Magnetization = 0.00 μB per atom


*R*
Nb2ZnH | GGA-PBE | relaxed

Geometry as POSCAR:
```
Nb2ZnH
1.0
3.2946 0.0000 0.0000
1.6473 2.8532 0.0000
1.6473 0.9511 6.1102
Nb Zn H
2 1 1
Cartesian
1.6473 0.9511 2.0743 Nb
4.9419 2.8532 4.0359 Nb
0.0000 0.0000 0.0000 Zn
3.2946 1.9022 3.0551 H
```

DOS(E_F) = 1.95 states/eV per cell
Magnetization = 0.00 μB per atom


Q: Which of them is the most stable? A: *Q*.


*P*
Nb2ZnH | GGA-PBE | relaxed

Geometry as POSCAR:
```
Nb2ZnH
1.0
4.9751 0.7754 0.0000
2.0598 4.7589 0.0000
1.0299 2.3795 4.9667
Nb Zn H
4 2 2
Cartesian
1.5871 2.8062 1.1917 Nb
3.9901 4.7199 1.1917 Nb
6.4777 5.1076 3.7751 Nb
4.0747 3.1939 3.7751 Nb
4.2463 1.7713 1.2051 Zn
3.8185 6.1425 3.7616 Zn
5.2762 4.1507 2.5397 H
2.7886 3.7630 2.4271 H
```

DOS(E_F) = 5.02 states/eV per cell
Magnetization = 0.00 μB per atom


*Q*
Nb2ZnH | GGA-PBE | relaxed

Geometry as POSCAR:
```
Nb2ZnH
1.0
-2.8611 -2.8420 1.5459
-3.5992 -0.8679 -2.2238
-0.4809 -3.8402 -1.9168
Nb H Zn
2 1 1
Cartesian
-1.7353 -1.8875 -0.6487 Nb
-5.2059 -5.6626 -1.9461 Nb
0.0000 0.0000 0.0000 H
-3.4706 -3.7751 -1.2974 Zn
```

DOS(E_F) = 2.85 states/eV per cell
Magnetization = 0.00 μB per atom


Q: Which of them is the most stable? A: *P*.


*P*
Zr2NbZnH | GGA-PBE | relaxed

Geometry as POSCAR:
```
Zr2NbZnH
1.0
-0.3805 4.4210 0.8845
-1.5662 0.7027 -4.1864
-3.6189 -0.5634 1.2593
Zr Zn Nb H
2 1 1 1
Cartesian
-0.1903 2.2105 0.4422 Zr
-0.7831 0.3514 -2.0932 Zr
-1.8095 -0.2817 0.6297 Zn
-2.7828 2.2802 -1.0213 Nb
0.0000 0.0000 0.0000 H
```

DOS(E_F) = 4.88 states/eV per cell
Magnetization = 0.00 μB per atom


*Q*
Zr2NbZnH | GGA-PBE | relaxed

Geometry as POSCAR:
```
Zr2NbZnH
1.0
4.4658 0.0000 0.0000
0.0000 4.4658 0.0000
0.0000 0.0000 4.0336
Zn Zr Nb H
1 2 1 1
Cartesian
2.2329 2.2329 2.0168 Zn
0.0000 2.2329 0.0000 Zr
2.2329 0.0000 0.0000 Zr
0.0000 0.0000 2.0168 Nb
0.0000 0.0000 0.0000 H
```

DOS(E_F) = 5.39 states/eV per cell
Magnetization = 0.00 μB per atom


Q: Which of them is the most stable? A: *Q*.